# 1
Material: BeZnCuRh
Method: DFT, GGA-PBE
State: relaxed

```
BeZnCuRh
1.0
0.0000 2.8907 2.8907
2.8907 0.0000 2.8907
2.8907 2.8907 0.0000
Be Zn Cu Rh
1 1 1 1
Direct
0.0000 0.0000 0.0000
0.5000 0.5000 0.5000
0.7500 0.7500 0.7500
0.2500 0.2500 0.2500
```

Calculated values
energy above the lowest structure with this stoichiometry = 0.055 eV/atom
calculated formation energy = -0.24 eV/atom
crystal system = cubic
energy = -4.3565 eV per atom
symmetry = F-43m, No. 216

---

# 2
Material: BeZnCuRh
Method: DFT, GGA-PBE
State: relaxed

```
BeZnCuRh
1.0
3.2745 0.0000 0.0000
0.0000 3.7101 0.0000
0.0000 0.0000 3.9663
Be Zn Cu Rh
1 1 1 1
Direct
0.0000 0.0000 0.0000
0.0000 0.5000 0.5000
0.5000 0.0000 0.5000
0.5000 0.5000 0.0000
```

Calculated values
energy above the lowest structure with this stoichiometry = 0.000 eV/atom
calculated formation energy = -0.30 eV/atom
crystal system = orthorhombic
energy = -4.4114 eV per atom
symmetry = Pmmm, No. 47

---

# 3
Material: Be2CuRu2
Method: DFT, GGA-PBE
State: relaxed

```
Be2CuRu2
1.0
5.8653 0.0000 0.0000
0.0000 5.8653 0.0000
0.0000 0.0000 3.1607
Be Cu Ru
4 2 4
Direct
0.1257 0.3743 0.0000
0.3743 0.8743 0.0000
0.6257 0.1257 0.0000
0.8743 0.6257 0.0000
0.0000 0.0000 0.0000
0.5000 0.5000 0.0000
0.1726 0.6726 0.5000
0.3274 0.1726 0.5000
0.6726 0.8274 0.5000
0.8274 0.3274 0.5000
```

Calculated values
energy above the lowest structure with this stoichiometry = 0.000 eV/atom
calculated formation energy = -0.21 eV/atom
crystal system = tetragonal
energy = -6.2252 eV per atom
symmetry = P4/mbm, No. 127

---

# 4
Material: Be4CuRu
Method: DFT, GGA-PBE
State: relaxed

```
Be4CuRu
1.0
0.0000 3.0385 3.0385
3.0385 0.0000 3.0385
3.0385 3.0385 0.0000
Be Cu Ru
4 1 1
Direct
0.1243 0.1243 0.1243
0.1243 0.1243 0.6271
0.1243 0.6271 0.1243
0.6271 0.1243 0.1243
0.5000 0.5000 0.5000
0.7500 0.7500 0.7500
```

Calculated values
calculated formation energy = -0.20 eV/atom
crystal system = cubic
energy = -4.9095 eV per atom
symmetry = F-43m, No. 216

---

Question: The highest calculated formation energy belongs to which entry?
Answer: Be4CuRu

---

Question: Which formula does entry 2 have?
Answer: BeZnCuRh

---

Question: The lowest energy belongs to which entry?
Answer: Be2CuRu2

---

Question: Which formula does entry 3 have?
Answer: Be2CuRu2